Entry from Alexandria: crystalline LaErGe at its relaxed geometry (GGA-PBE).

Cell: 8.887 8.887 8.887 Å, 150.63 150.63 42.02°
Positions (direct):
La: 0.180 0.180 0.000
La: 0.820 0.820 0.000
Er: 0.000 0.500 0.500
Er: 0.500 0.000 0.500
Ge: 0.375 0.375 0.000
Ge: 0.625 0.625 0.000

Results
M_tot   1.29 μB/cell
DFT formation energy   -64 kJ/mol of atoms

---

Entry from Alexandria: crystalline LaEr2Ge4 at its relaxed geometry (GGA-PBE).

Cell: 9.625 9.625 9.625 Å, 155.74 153.95 35.89°
Positions (direct):
La: 0.000 0.000 0.000
Er: 0.182 0.682 0.500
Er: 0.818 0.318 0.500
Ge: 0.339 0.839 0.500
Ge: 0.431 0.431 0.000
Ge: 0.569 0.569 0.000
Ge: 0.661 0.161 0.500

Results
M_tot   0.00 μB/cell
DFT formation energy   -75 kJ/mol of atoms

---

Entry from Alexandria: crystalline LaErGe at its relaxed geometry (GGA-PBE).

Cell: 4.799 4.799 4.361 Å, 90.00 90.00 120.00°
Positions (direct):
La: 0.000 0.000 0.000
Er: 0.333 0.667 0.516
Ge: 0.667 0.333 0.433

Results
M_tot   0.00 μB/cell
DFT formation energy   -45 kJ/mol of atoms